This record from the Alexandria database describes crystalline SiTcMo2 at its relaxed geometry. The functional is PBE.

Computed properties:
Space group: P4/mmm
Formation energy (no corrections): -0.057 eV/atom
Uncorrected energy: -9.420 eV per atom
ρ: 9.047 g/cm³

Lattice parameters (Å, degrees): 2.865 2.865 7.110 90.00 90.00 90.00
Sites, in units of the cell vectors:
1 Tc 0.500 0.500 0.750
2 Si 0.500 0.500 0.250
3 Mo 0.000 0.000 0.488
4 Mo 0.000 0.000 0.012



This record from the Alexandria database describes crystalline SiTcMo2 at its relaxed geometry. The functional is PBE.

Computed properties:
Space group: Immm
Formation energy (no corrections): -0.260 eV/atom
Uncorrected energy: -9.623 eV per atom
ρ: 9.121 g/cm³

Lattice parameters (Å, degrees): 5.124 5.124 5.124 144.18 132.01 61.31
Sites, in units of the cell vectors:
1 Mo 0.999 0.999 0.000
2 Tc 0.250 0.750 0.500
3 Si 0.750 0.250 0.500
4 Mo 0.501 0.501 0.000



This record from the Alexandria database describes crystalline SiTcMo2 at its relaxed geometry. The functional is PBE.

Computed properties:
Space group: P4mm
Formation energy (no corrections): -0.133 eV/atom
Uncorrected energy: -9.496 eV per atom
ρ: 8.997 g/cm³

Lattice parameters (Å, degrees): 3.147 3.147 5.925 90.00 90.00 90.00
Sites, in units of the cell vectors:
1 Tc 0.500 0.500 0.726
2 Si 0.000 0.000 0.507
3 Mo 0.500 0.500 0.255
4 Mo 0.000 0.000 0.012



This record from the Alexandria database describes crystalline Si4TcMo at its relaxed geometry. The functional is PBE.

Computed properties:
Space group: F-43m
Formation energy (no corrections): 0.378 eV/atom
Uncorrected energy: -6.770 eV per atom
ρ: 6.444 g/cm³
Energy above the most stable polymorph in this dataset: 5.05 eV per formula unit

Lattice parameters (Å, degrees): 4.815 4.815 4.815 60.00 60.00 60.00
Sites, in units of the cell vectors:
1 Mo 0.000 0.000 0.000
2 Si 0.375 0.375 0.375
3 Si 0.875 0.375 0.375
4 Si 0.375 0.875 0.375
5 Si 0.375 0.375 0.875
6 Tc 0.750 0.750 0.750



Q: What is the formation energy (no corrections) in the first record?
A: -0.057 eV/atom



Q: Which value of formation energy (no corrections) does entry 1 give?
A: -0.057 eV/atom